<one>
DFT (GGA-PBE) results for a geometry-optimized Ce5Ga structure.

Cell lengths 5.4925, 5.5857, 5.6573 Å; angles 119.58, 90.00, 90.00 degrees
With the nearest neighbours (Å) after each atom.
Positions (direct):
Ga (0.0000, 0.5000, 0.0000)  8 Ce 3.12-3.22
Ce (0.0000, 0.8588, 0.7177)  3 Ce 2.78-3.08
Ce (0.0000, 0.1412, 0.2823)  3 Ce 2.78-3.08
Ce (0.5000, 0.3295, 0.6590)  8 Ce 3.20-3.36, 2 Ga 3.22
Ce (0.5000, 0.0000, 0.0000)  10 Ce 3.08-3.26
Ce (0.5000, 0.6705, 0.3410)  8 Ce 3.20-3.36, 2 Ga 3.22

=====

<two>
DFT (GGA-PBE) results for a geometry-optimized Ce5Ga structure.

Cell lengths 4.8319, 4.3362, 7.3002 Å; angles 107.28, 90.00, 90.00 degrees
With the nearest neighbours (Å) after each atom.
Positions (direct):
Ga (0.0000, 0.0000, 0.0000)  12 Ce 3.20-3.27
Ce (0.0000, 0.6756, 0.3511)  6 Ce 3.00-3.27, 2 Ga 3.27
Ce (0.0000, 0.3244, 0.6489)  6 Ce 3.00-3.27, 2 Ga 3.27
Ce (0.5000, 0.1502, 0.3004)  6 Ce 3.01-3.27, 2 Ga 3.20
Ce (0.5000, 0.5000, 0.0000)  4 Ce 3.01, 4 Ga 3.25
Ce (0.5000, 0.8498, 0.6996)  6 Ce 3.01-3.27, 2 Ga 3.20

=====

According to the calculations, the structures order from most to least stable as <two>, <one>.

=====

<one>
DFT (GGA-PBE) results for a geometry-optimized Ce4Ga structure.

Cell lengths 4.6617, 5.6137, 14.4907 Å; angles 130.03, 90.02, 114.48 degrees
With the nearest neighbours (Å) after each atom.
Positions (direct):
Ce (0.5172, 0.5342, 0.0563)  8 Ce 3.07-3.39, 3 Ga 3.19-3.27
Ce (0.9028, 0.3059, 0.6594)  8 Ce 3.07-3.39, 3 Ga 3.20-3.26
Ce (0.6971, 0.8939, 0.8405)  8 Ce 3.07-3.39, 3 Ga 3.20-3.26
Ce (0.9030, 0.3061, 0.1595)  8 Ce 3.07-3.39, 3 Ga 3.20-3.26
Ce (0.6972, 0.8942, 0.3407)  8 Ce 3.07-3.39, 3 Ga 3.20-3.26
Ce (0.0829, 0.6659, 0.9437)  8 Ce 3.07-3.39, 3 Ga 3.19-3.27
Ce (0.5170, 0.5340, 0.5562)  8 Ce 3.07-3.39, 3 Ga 3.19-3.27
Ce (0.0829, 0.6658, 0.4437)  8 Ce 3.07-3.39, 3 Ga 3.19-3.27
Ga (0.2999, 0.0999, 0.7500)  12 Ce 3.19-3.27
Ga (0.3000, 0.1001, 0.2500)  12 Ce 3.19-3.27

=====

<two>
DFT (GGA-PBE) results for a geometry-optimized Ce4Ga structure.

Cell lengths 5.6081, 5.6740, 8.4731 Å; angles 103.35, 90.00, 90.00 degrees
With the nearest neighbours (Å) after each atom.
Positions (direct):
Ce (0.7844, 0.4954, 0.5941)  2 Ce 2.71-2.90
Ce (0.2156, 0.5046, 0.4059)  2 Ce 2.71-2.90
Ce (0.0164, 0.9051, 0.3395)  2 Ce 2.69-2.71
Ce (0.5164, 0.0949, 0.1605)  2 Ce 2.69-2.71
Ce (0.9836, 0.0949, 0.6605)  2 Ce 2.69-2.71
Ce (0.4836, 0.9051, 0.8395)  2 Ce 2.69-2.71
Ce (0.7156, 0.4954, 0.0941)  2 Ce 2.71-2.90
Ce (0.2844, 0.5046, 0.9059)  2 Ce 2.71-2.90
Ga (0.0000, 0.0000, 0.0000)  8 Ce 3.03-3.19
Ga (0.5000, 0.0000, 0.5000)  8 Ce 3.03-3.19

=====

<three>
DFT (GGA-PBE) results for a geometry-optimized Ce4Ga structure.

Cell lengths 5.6115, 5.6115, 5.6115 Å; angles 90.00, 90.00, 90.00 degrees
With the nearest neighbours (Å) after each atom.
Positions (direct):
Ce (0.5000, 0.5000, 0.0000)  2 Ga 2.81
Ce (0.0000, 0.0000, 0.0000)  12 Ce 3.97
Ce (0.0000, 0.5000, 0.5000)  2 Ga 2.81
Ce (0.5000, 0.0000, 0.5000)  2 Ga 2.81
Ga (0.5000, 0.5000, 0.5000)  6 Ce 2.81

=====

According to the calculations, the structures order from most to least stable as <one>, <two>, <three>.

=====

<one>
DFT (GGA-PBE) results for a geometry-optimized Ce5Ga4 structure.

Cell lengths 4.8937, 5.6982, 9.0266 Å; angles 89.24, 74.27, 64.57 degrees
With the nearest neighbours (Å) after each atom.
Positions (direct):
Ce (0.2278, 0.3780, 0.1665)  1 Ce 2.85, 6 Ga 2.99-3.18
Ce (0.1033, 0.2090, 0.5844)  1 Ce 2.85, 3 Ga 3.08-3.12
Ce (0.7722, 0.6220, 0.8335)  1 Ce 2.85, 6 Ga 2.99-3.18
Ce (0.8967, 0.7910, 0.4156)  1 Ce 2.85, 3 Ga 3.08-3.12
Ce (0.0000, 0.0000, 0.0000)  6 Ga 3.25-3.50, 4 Ce 3.35
Ga (0.5162, 0.7759, 0.1917)  1 Ga 2.69
Ga (0.4838, 0.2241, 0.8083)  1 Ga 2.69
Ga (0.6316, 0.3732, 0.3637)  2 Ga 2.57-2.69
Ga (0.3684, 0.6268, 0.6363)  2 Ga 2.57-2.69

=====

<two>
DFT (GGA-PBE) results for a geometry-optimized Ce5Ga4 structure.

Cell lengths 6.2723, 9.0732, 9.0732 Å; angles 120.00, 90.00, 90.00 degrees
With the nearest neighbours (Å) after each atom.
Positions (direct):
Ce (0.5000, 0.3333, 0.6667)  2 Ce 3.14, 6 Ga 3.29
Ce (0.5000, 0.6667, 0.3333)  2 Ce 3.14, 6 Ga 3.29
Ce (0.2500, 0.0000, 0.7072)  7 Ga 3.04-3.20
Ce (0.0000, 0.6667, 0.3333)  2 Ce 3.14, 6 Ga 3.29
Ce (0.2500, 0.2928, 0.2928)  7 Ga 3.04-3.20
Ce (0.7500, 0.0000, 0.2928)  7 Ga 3.04-3.20
Ce (0.0000, 0.3333, 0.6667)  2 Ce 3.14, 6 Ga 3.29
Ce (0.7500, 0.7072, 0.7072)  7 Ga 3.04-3.20
Ce (0.7500, 0.2928, 0.0000)  7 Ga 3.04-3.20
Ce (0.2500, 0.7072, 0.0000)  7 Ga 3.04-3.20
Ga (0.7500, 0.6350, 0.0000)  9 Ce 3.04-3.29
Ga (0.0000, 0.0000, 0.0000)  6 Ce 3.08, 2 Ga 3.14
Ga (0.2500, 0.3650, 0.0000)  9 Ce 3.04-3.29
Ga (0.2500, 0.6350, 0.6350)  9 Ce 3.04-3.29
Ga (0.7500, 0.3650, 0.3650)  9 Ce 3.04-3.29
Ga (0.5000, 0.0000, 0.0000)  6 Ce 3.08, 2 Ga 3.14
Ga (0.7500, 0.0000, 0.6350)  9 Ce 3.04-3.29
Ga (0.2500, 0.0000, 0.3650)  9 Ce 3.04-3.29

=====

According to the calculations, the structures order from most to least stable as <one>, <two>.

=====

<one>
DFT (GGA-PBE) results for a geometry-optimized Ce2GdGa structure.

Cell lengths 3.9171, 3.9171, 7.2021 Å; angles 90.00, 90.00, 90.00 degrees
With the nearest neighbours (Å) after each atom.
Positions (direct):
Gd (0.5000, 0.5000, 0.5000)  8 Ce 3.54, 2 Ga 3.60, 4 Gd 3.92
Ce (0.0000, 0.0000, 0.1940)  1 Ce 2.80, 4 Ga 3.10
Ce (0.0000, 0.0000, 0.8060)  1 Ce 2.80, 4 Ga 3.10
Ga (0.5000, 0.5000, 0.0000)  8 Ce 3.10

=====

<two>
DFT (GGA-PBE) results for a geometry-optimized Ce2GdGa structure.

Cell lengths 4.9503, 4.5466, 4.5466 Å; angles 90.00, 90.00, 90.00 degrees
With the nearest neighbours (Å) after each atom.
Positions (direct):
Ce (0.0000, 0.5000, 0.0000)  4 Ce 3.21, 4 Gd 3.36, 4 Ga 3.36
Ce (0.0000, 0.0000, 0.5000)  4 Ce 3.21, 4 Gd 3.36, 4 Ga 3.36
Ga (0.5000, 0.0000, 0.0000)  4 Gd 3.21, 8 Ce 3.36
Gd (0.5000, 0.5000, 0.5000)  4 Ga 3.21, 8 Ce 3.36

=====

According to the calculations, the structures order from most to least stable as <two>, <one>.

=====

<one>
DFT (GGA-PBE) results for a geometry-optimized CeGa2Ge structure.

Cell lengths 4.4712, 4.4712, 5.6100 Å; angles 66.52, 66.52, 60.00 degrees
With the nearest neighbours (Å) after each atom.
Positions (direct):
Ga (0.7200, 0.7200, 0.8399)  3 Ge 2.70
Ga (0.2800, 0.2800, 0.1601)  3 Ge 2.70
Ge (0.0000, 0.0000, 0.0000)  6 Ga 2.70
Ce (0.5000, 0.5000, 0.5000)  8 Ga 3.09-3.29

=====

<two>
DFT (GGA-PBE) results for a geometry-optimized CeGa2Ge structure.

Cell lengths 4.6888, 4.4083, 4.4097 Å; angles 95.90, 90.00, 90.00 degrees
With the nearest neighbours (Å) after each atom.
Positions (direct):
Ce (0.5000, 0.5000, 0.0000)  4 Ge 2.95-3.27, 4 Ga 3.03
Ga (0.0000, 0.2057, 0.2930)  3 Ga 2.70-3.02, 2 Ge 2.71
Ga (0.0000, 0.7943, 0.7070)  3 Ga 2.70-3.02, 2 Ge 2.71
Ge (0.5000, 0.0000, 0.5000)  4 Ga 2.71, 2 Ce 2.95

=====

According to the calculations, the structures order from most to least stable as <two>, <one>.